Computed, not measured: a crystal of Lu4Ge6Rh7 relaxed with PBEsol at the SCAN level of DFT.

The structure belongs to space group Im-3m (No. 229); the cell edges are 8.182, 8.182 and 8.182 Å and the angles 90.00°, 90.00° and 90.00°. Symmetry generates all atoms from Lu at (0.250, 0.250, 0.250), Ge at (0.000, 0.000, 0.317), Rh at (0.000, 0.000, 0.000) and Rh at (0.000, 0.250, 0.500).

The formation energy is -1.12 eV/atom. The magnetization comes out at 0.0 μB/cell. For the raw total energy, the calculation gives -34.782 eV/atom.

---

Computed, not measured: a crystal of LuGeRu relaxed with PBEsol at the SCAN level of DFT.

The structure belongs to space group Pnma (No. 62); the cell edges are 6.809, 4.305 and 7.115 Å and the angles 90.00°, 90.00° and 90.00°. Symmetry generates all atoms from Lu at (0.011, 0.250, 0.192), Ge at (0.207, 0.250, 0.609) and Ru at (0.157, 0.750, 0.439).

The formation energy is -0.87 eV/atom. The magnetization comes out at 0.0 μB/cell. For the raw total energy, the calculation gives -37.292 eV/atom.

---

Computed, not measured: a crystal of Lu3Ge3Ru2 relaxed with PBEsol at the SCAN level of DFT.

The structure belongs to space group Cmcm (No. 63); the cell edges are 4.180, 10.472 and 13.510 Å and the angles 90.00°, 90.00° and 90.00°. Symmetry generates all atoms from Lu at (0.000, 0.077, 0.113), Lu at (0.000, 0.351, 0.250), Ge at (0.000, 0.340, 0.750), Ge at (0.000, 0.387, 0.041) and Ru at (0.000, 0.213, 0.583).

The formation energy is -0.90 eV/atom. The magnetization comes out at 0.0 μB/cell. For the raw total energy, the calculation gives -37.518 eV/atom.

---

Computed, not measured: a crystal of LuTiGe relaxed with PBEsol at the SCAN level of DFT.

The structure belongs to space group P4/nmm (No. 129, origin choice 2); the cell edges are 3.952, 3.952 and 7.417 Å and the angles 90.00°, 90.00° and 90.00°. Symmetry generates all atoms from Lu at (0.250, 0.250, 0.157), Ti at (0.250, 0.750, 0.500) and Ge at (0.250, 0.250, 0.753).

The formation energy is -0.78 eV/atom. The magnetization comes out at 0.9 μB/cell. For the raw total energy, the calculation gives -30.930 eV/atom.

---

Computed, not measured: a crystal of MgMnGe2O6 relaxed with PBEsol at the SCAN level of DFT.

The structure belongs to space group C2/c (No. 15); the cell edges are 9.721, 9.111 and 5.195 Å and the angles 90.00°, 99.99° and 90.00°. Symmetry generates all atoms from Mg at (0.000, 0.227, 0.250), Mn at (0.000, 0.406, 0.750), Ge at (0.198, 0.094, 0.787), O at (0.116, 0.239, 0.613), O at (0.118, 0.405, 0.138) and O at (0.139, 0.070, 0.099).

The magnetization comes out at 20.0 μB/cell. For the raw total energy, the calculation gives -12.006 eV/atom. The uncorrected formation energy is -2.13 eV per atom.

---

Computed, not measured: a crystal of Mg3GeMo relaxed with PBEsol at the SCAN level of DFT.

The structure belongs to space group Pm-3m (No. 221); the cell edges are 5.078, 5.078 and 5.078 Å and the angles 90.00°, 90.00° and 90.00°. Symmetry generates all atoms from Mg at (0.000, 0.000, 0.500), Ge at (0.500, 0.500, 0.500) and Mo at (0.000, 0.000, 0.000).

The formation energy is 1.25 eV/atom. The magnetization comes out at 2.0 μB/cell. For the raw total energy, the calculation gives -12.525 eV/atom.

---

Computed, not measured: a crystal of Mg2NiGeMo relaxed with PBEsol at the SCAN level of DFT.

The structure belongs to space group P4/mmm (No. 123); the cell edges are 4.835, 4.835 and 4.223 Å and the angles 90.00°, 90.00° and 90.00°. Symmetry generates all atoms from Mg at (0.000, 0.500, 0.000), Ni at (0.000, 0.000, 0.500), Ge at (0.000, 0.000, 0.000) and Mo at (0.500, 0.500, 0.500).

The formation energy is 0.88 eV/atom. The magnetization comes out at 3.7 μB/cell. For the raw total energy, the calculation gives -15.143 eV/atom.

---

Computed, not measured: a crystal of MgGeN3 relaxed with PBEsol at the SCAN level of DFT.

The structure belongs to space group Pm-3m (No. 221); the cell edges are 4.010, 4.010 and 4.010 Å and the angles 90.00°, 90.00° and 90.00°. Symmetry generates all atoms from Mg at (0.000, 0.000, 0.000), Ge at (0.500, 0.500, 0.500) and N at (0.000, 0.000, 0.500).

The magnetization comes out at 5.0 μB/cell. For the raw total energy, the calculation gives -8.795 eV/atom. The uncorrected formation energy is 1.59 eV per atom.

---

Computed, not measured: a crystal of Mg3GeN relaxed with PBEsol at the SCAN level of DFT.

The structure belongs to space group Pm-3m (No. 221); the cell edges are 4.240, 4.240 and 4.240 Å and the angles 90.00°, 90.00° and 90.00°. Symmetry generates all atoms from Mg at (0.000, 0.000, 0.500), Ge at (0.500, 0.500, 0.500) and N at (0.000, 0.000, 0.000).

The magnetization comes out at 0.7 μB/cell. For the raw total energy, the calculation gives -9.201 eV/atom. The uncorrected formation energy is -0.54 eV per atom.

---

Computed, not measured: a crystal of MgGeNO2 relaxed with PBEsol at the SCAN level of DFT.

The structure belongs to space group P4/mmm (No. 123); the cell edges are 3.849, 3.849 and 4.068 Å and the angles 90.00°, 90.00° and 90.00°. Symmetry generates all atoms from Mg at (0.000, 0.000, 0.000), Ge at (0.500, 0.500, 0.500), N at (0.000, 0.000, 0.500) and O at (0.000, 0.500, 0.000).

The magnetization comes out at 3.0 μB/cell. For the raw total energy, the calculation gives -9.176 eV/atom. The uncorrected formation energy is -0.01 eV per atom.

---

Computed, not measured: a crystal of MgGePt2N relaxed with PBEsol at the SCAN level of DFT.

The structure belongs to space group P4/mmm (No. 123); the cell edges are 4.726, 4.726 and 3.695 Å and the angles 90.00°, 90.00° and 90.00°. Symmetry generates all atoms from Mg at (0.000, 0.000, 0.000), Ge at (0.500, 0.500, 0.500), Pt at (0.000, 0.500, 0.000) and N at (0.000, 0.000, 0.500).

The magnetization comes out at 0.0 μB/cell. For the raw total energy, the calculation gives -33.623 eV/atom. The uncorrected formation energy is 1.12 eV per atom.